No. 1
The following is a DFT calculation (GGA-PBE) of a relaxed LiRe2Au crystal.

Cell: 3.061 3.061 6.392 Å, 90.00 90.00 90.00°
Atoms (fractional coordinates):
Au 0.000 0.000 0.539
Li 0.500 0.500 0.749
Re 0.000 0.000 0.000
Re 0.500 0.500 0.212

Results
- Calculated formation energy: 136 meV/atom
- V: 60 Å³ per cell
- N(E_F): 0.244 states/eV per atom


No. 2
The following is a DFT calculation (GGA-PBE) of a relaxed LiRe2Au crystal.

Cell: 2.751 3.928 5.675 Å, 90.00 90.00 90.00°
Atoms (fractional coordinates):
Au 0.000 0.000 0.532
Li 0.500 0.500 0.734
Re 0.000 0.000 0.022
Re 0.500 0.500 0.212

Results
- Calculated formation energy: 187 meV/atom
- V: 61 Å³ per cell
- N(E_F): 0.711 states/eV per atom


No. 3
The following is a DFT calculation (GGA-PBE) of a relaxed LiScRe2Au crystal.

Cell: 4.622 4.319 4.622 Å, 90.00 90.00 90.00°
Atoms (fractional coordinates):
Sc 0.000 0.000 0.000
Re 0.000 0.000 0.500
Re 0.500 0.000 0.000
Au 0.500 0.500 0.500
Li 0.000 0.500 0.000

Results
- Calculated formation energy: 1810 meV/atom
- V: 92 Å³ per cell
- N(E_F): 0.795 states/eV per atom


No. 4
The following is a DFT calculation (GGA-PBE) of a relaxed LiTa2ReAu crystal.

Cell: 4.976 3.935 4.976 Å, 90.00 90.00 90.00°
Atoms (fractional coordinates):
Re 0.500 0.500 0.500
Li 0.000 0.500 0.000
Au 0.000 0.000 0.000
Ta 0.000 0.000 0.500
Ta 0.500 0.000 0.000

Results
- Calculated formation energy: 1458 meV/atom
- V: 97 Å³ per cell
- N(E_F): 1.040 states/eV per atom